--- a ---
Here is a relaxed SrIr2Br crystal from Alexandria. Energies are from GGA-PBEsol.

Structure (extended XYZ):
```
4
Lattice="3.8039 0.0000 0.0000 0.0000 3.8039 0.0000 -1.9020 -1.9020 5.8759" Properties=species:S:1:pos:R:3 pbc="T T T"
Sr 1.9020 1.9020 0.0000
Ir 0.0000 1.9020 2.9380
Ir 1.9020 0.0000 2.9380
Br 0.0000 0.0000 0.0000
```

---

--- b ---
Here is a relaxed SrIr2Br crystal from Alexandria. Energies are from GGA-PBEsol.

Structure (extended XYZ):
```
4
Lattice="-0.2671 -2.4002 1.7732 3.4159 1.7191 2.8416 -3.6149 2.4968 2.8351" Properties=species:S:1:pos:R:3 pbc="T T T"
Ir 0.0000 0.0000 0.0000
Ir 1.5744 -0.3405 2.3074
Br -0.0995 2.1080 2.8383
Sr -1.9410 0.0483 2.3041
```

---

--- c ---
Here is a relaxed SrIr2Br crystal from Alexandria. Energies are from GGA-PBEsol.

Structure (extended XYZ):
```
4
Lattice="4.1175 0.0000 0.0000 2.0588 3.5659 0.0000 2.0588 1.1886 7.3904" Properties=species:S:1:pos:R:3 pbc="T T T"
Br 2.0588 1.1886 2.0872
Sr 4.1175 2.3773 3.8949
Ir 2.0588 1.1886 6.2564
Ir 6.1763 3.5659 6.2375
```

---

Most stable structure - c; separation to the second - 442 meV per atom.

---

--- a ---
Here is a relaxed SrIrBr2 crystal from Alexandria. Energies are from GGA-PBEsol.

Structure (extended XYZ):
```
4
Lattice="3.6078 0.0000 0.0000 0.0000 3.6078 0.0000 0.0000 0.0000 7.5753" Properties=species:S:1:pos:R:3 pbc="T T T"
Br 1.8039 1.8039 2.7357
Br 0.0000 0.0000 7.3305
Sr 1.8039 1.8039 5.6242
Ir 0.0000 0.0000 3.2478
```

---

--- b ---
Here is a relaxed SrIrBr2 crystal from Alexandria. Energies are from GGA-PBEsol.

Structure (extended XYZ):
```
4
Lattice="3.6569 0.0000 0.0000 0.0000 3.6569 0.0000 0.0000 0.0000 6.7865" Properties=species:S:1:pos:R:3 pbc="T T T"
Sr 1.8285 1.8285 3.3933
Br 0.0000 0.0000 5.1481
Br 0.0000 0.0000 1.6384
Ir 1.8285 1.8285 0.0000
```

---

Most stable structure - a; separation to the second - 499 meV per atom.

---

--- a ---
Here is a relaxed TcIr2Br crystal from Alexandria. Energies are from GGA-PBEsol.

Structure (extended XYZ):
```
4
Lattice="2.7933 0.0000 0.0000 0.0000 4.6330 0.0000 0.0000 0.0000 4.6817" Properties=species:S:1:pos:R:3 pbc="T T T"
Br 0.0000 2.3165 2.3409
Ir 1.3966 2.3165 0.0000
Ir 0.0000 0.0000 0.0000
Tc 1.3966 0.0000 2.3409
```

---

--- b ---
Here is a relaxed TcIr2Br crystal from Alexandria. Energies are from GGA-PBEsol.

Structure (extended XYZ):
```
4
Lattice="-0.6947 0.7376 -3.8235 -3.8857 -0.3849 0.6317 2.0427 3.5886 2.3672" Properties=species:S:1:pos:R:3 pbc="T T T"
Br 0.0000 0.0000 0.0000
Ir -2.0666 1.6900 0.7015
Ir -0.4711 2.2513 -1.5261
Tc -2.2902 0.1764 -1.5959
```

---

Most stable structure - a; separation to the second - 74 meV per atom.